DFT (PBE) results for crystalline ThZr3Sc at its relaxed geometry.

Values from the calculation:
- Total energy: -78.432 eV for the cell shown
- Space group: P-1
- Formation enthalpy at 0 K: 0.180 eV per formula unit
- Excess energy over the best structure of this formula in the dataset: 0 meV per atom
- Volume: 251.3 Å³ per cell

a b c (Å): 3.2962 7.9028 10.1295
angles (deg): 75.04 80.68 89.95
With the nearest neighbours (Å) after each atom.
Fractional positions:
Th1 0.1163 0.0216 0.2656  8 Zr 3.26-3.39, 2 Th 3.30, 2 Sc 3.37
Th2 0.8837 0.9784 0.7344  8 Zr 3.26-3.39, 2 Th 3.30, 2 Sc 3.37
Zr1 0.0824 0.5836 0.3355  9 Zr 3.21-3.30, 2 Sc 3.23, 1 Th 3.35
Zr2 0.2861 0.1901 0.9277  3 Sc 3.13-3.39, 6 Zr 3.22-3.40, 3 Th 3.29-3.31
Zr3 0.4772 0.7718 0.5440  1 Sc 3.16, 7 Zr 3.21-3.48, 4 Th 3.26-3.39
Zr4 0.5228 0.2282 0.4560  1 Sc 3.16, 7 Zr 3.21-3.48, 4 Th 3.26-3.39
Zr5 0.7139 0.8099 0.0723  3 Sc 3.13-3.39, 6 Zr 3.22-3.40, 3 Th 3.29-3.31
Zr6 0.9176 0.4164 0.6645  9 Zr 3.21-3.30, 2 Sc 3.23, 1 Th 3.35
Sc1 0.3171 0.5995 0.8668  6 Zr 3.13-3.39, 4 Sc 3.17-3.30, 2 Th 3.37
Sc2 0.6829 0.4005 0.1332  6 Zr 3.13-3.39, 4 Sc 3.17-3.30, 2 Th 3.37